# 1
## Tl2SiPtS4 (GGA-PBE)

Data for a relaxed structure of Tl2SiPtS4. Values from VASP.

The space-group type is Fddd (70). As for the uncorrected formation energy: -0.384 eV/atom. As for the total energy: -4.47 eV/atom. The calculation puts the magnetic moment at 0.0 μB/cell.

Geometry as Quantum ESPRESSO input:
```
&SYSTEM
  ibrav = 0, nat = 16, ntyp = 4
/
ATOMIC_SPECIES
Tl 204.38 Tl.upf
Si 28.09 Si.upf
Pt 195.08 Pt.upf
S 32.06 S.upf
ATOMIC_POSITIONS angstrom
Tl 2.484 5.375 0.688
Tl 4.140 8.959 5.623
Tl 2.484 5.375 14.115
Tl 4.140 8.959 19.050
Si 2.484 5.375 7.402
Si 4.140 8.959 12.336
Pt 0.828 1.792 2.467
Pt 5.796 12.542 17.271
S 4.015 3.915 6.901
S 4.015 6.836 7.902
S 5.671 7.498 12.837
S 5.671 10.419 11.836
S 0.954 3.915 7.902
S 0.954 6.836 6.901
S 2.610 7.498 11.836
S 2.610 10.419 12.837
CELL_PARAMETERS angstrom
0.000 7.167 9.869
3.312 0.000 9.869
3.312 7.167 0.000
```



# 2
## SiPtWS2 (GGA-PBE)

Data for a relaxed structure of SiPtWS2. Values from VASP.

The space-group type is P4/mmm (123). As for the uncorrected formation energy: 1.250 eV/atom. As for the total energy: -5.28 eV/atom. The calculation puts the density of states at the Fermi level at 1.11 states/eV per atom. The calculation puts the magnetic moment at 0.0 μB/cell.

Geometry as Quantum ESPRESSO input:
```
&SYSTEM
  ibrav = 0, nat = 5, ntyp = 4
/
ATOMIC_SPECIES
Si 28.09 Si.upf
Pt 195.08 Pt.upf
W 183.84 W.upf
S 32.06 S.upf
ATOMIC_POSITIONS angstrom
Si 0.000 0.000 0.000
Pt 2.113 2.113 2.508
W 0.000 0.000 2.508
S 0.000 2.113 0.000
S 2.113 0.000 0.000
CELL_PARAMETERS angstrom
4.227 0.000 0.000
0.000 4.227 0.000
0.000 0.000 5.015
```



# 3
## Sm5PtS4 (GGA-PBE)

Data for a relaxed structure of Sm5PtS4. Values from VASP.

The space-group type is I4/mmm (139). As for the uncorrected formation energy: -1.827 eV/atom. As for the total energy: -6.44 eV/atom. The calculation puts the density of states at the Fermi level at 0.52 states/eV per atom. The calculation puts the magnetic moment at 0.0 μB/cell.

Geometry as Quantum ESPRESSO input:
```
&SYSTEM
  ibrav = 0, nat = 10, ntyp = 3
/
ATOMIC_SPECIES
Sm 150.36 Sm.upf
Pt 195.08 Pt.upf
S 32.06 S.upf
ATOMIC_POSITIONS angstrom
Sm 0.000 0.000 0.000
Sm 0.000 0.000 5.827
Sm 0.000 0.000 11.469
Sm 0.000 0.000 17.376
Sm 0.000 0.000 23.019
Pt 0.000 0.000 14.423
S 0.000 0.000 2.964
S 0.000 0.000 8.664
S 0.000 0.000 20.181
S 0.000 0.000 25.882
CELL_PARAMETERS angstrom
-2.019 2.019 14.423
2.019 -2.019 14.423
2.019 2.019 -14.423
```



# 4
## Sm2PtS (GGA-PBE)

Data for a relaxed structure of Sm2PtS. Values from VASP.

The space-group type is R3m (160). As for the uncorrected formation energy: -1.440 eV/atom. As for the total energy: -6.34 eV/atom. The calculation puts the density of states at the Fermi level at 0.56 states/eV per atom. The calculation puts the magnetic moment at 0.0 μB/cell.

Geometry as Quantum ESPRESSO input:
```
&SYSTEM
  ibrav = 0, nat = 4, ntyp = 3
/
ATOMIC_SPECIES
Sm 150.36 Sm.upf
Pt 195.08 Pt.upf
S 32.06 S.upf
ATOMIC_POSITIONS angstrom
Sm 0.000 0.000 0.000
Sm 0.000 0.000 3.834
Pt 0.000 0.000 12.756
S 0.000 0.000 9.113
CELL_PARAMETERS angstrom
2.010 1.161 7.223
-2.010 1.161 7.223
0.000 -2.321 7.223
```